## Ba3SbP (PBE)

Data for crystalline Ba3SbP at its relaxed geometry.

a = 4.712 Å, b = 9.856 Å, c = 9.859 Å
α = 69.10°, β = 89.99°, γ = 89.99°
Fractional coordinates of all 10 atoms:
Ba  0.864  0.386  0.817
Ba  0.864  0.003  0.676
Ba  0.863  0.623  0.055
Ba  0.363  0.038  0.090
Ba  0.862  0.765  0.438
Ba  0.363  0.350  0.403
Sb  0.363  0.694  0.746
Sb  0.863  0.194  0.247
P  0.362  0.694  0.246
P  0.364  0.194  0.746

Results
For the magnetic moment, the calculation gives 0.00 Bohr magnetons per cell. The excess energy over the best structure of this formula in the dataset is 39.6 meV per atom. Its density of states at the Fermi level is 0.36 states/eV/f.u. For the energy, the calculation gives -4.01 eV per atom.